Crystalline PrOsPb2O6 at its relaxed geometry. Source: the Open Quantum Materials Database, functional PBE.

Polymorph energy (0 for the lowest one)   0 meV per atom

a = 5.8271 Å, b = 5.8271 Å, c = 6.0672 Å
α = 118.92°, β = 118.92°, γ = 60.74°
Each line ends with the local moment (μB).
Element x y z (fractional)
O  0.3257  0.7934  0.8348  0.08
O  0.6743  0.2066  0.1652  0.08
O  0.2066  0.6743  0.1652  0.08
O  0.7934  0.3257  0.8348  0.08
O  0.7223  0.7223  0.3131  0.12
O  0.2777  0.2777  0.6869  0.12
Pr  0.0000  0.0000  0.5000  0.03
Pb  0.7559  0.7559  0.7836  0.04
Pb  0.2441  0.2441  0.2164  0.04
Os  0.5000  0.5000  0.0000  1.84

***

Crystalline HfTlFeCu at its relaxed geometry. Source: the Open Quantum Materials Database, functional PBE.

Polymorph energy (0 for the lowest one)   186 meV per atom

a = 4.5986 Å, b = 4.5986 Å, c = 4.5986 Å
α = 60.00°, β = 60.00°, γ = 60.00°
Element x y z (fractional)
Cu  0.7500  0.7500  0.7500
Tl  0.0000  0.0000  0.0000
Hf  0.2500  0.2500  0.2500
Fe  0.5000  0.5000  0.5000

***

Crystalline LiAl2Pt at its relaxed geometry. Source: the Open Quantum Materials Database, functional PBE.

a = 4.0012 Å, b = 4.0012 Å, c = 3.5688 Å
α = 90.00°, β = 90.00°, γ = 90.00°
Element x y z (fractional)
Al  0.0000  0.5000  0.5000
Al  0.5000  0.0000  0.5000
Pt  0.5000  0.5000  0.0000
Li  0.0000  0.0000  0.0000

***

Crystalline Ba2PrS3 at its relaxed geometry. Source: the Open Quantum Materials Database, functional PBE.

a = 4.3412 Å, b = 4.3412 Å, c = 10.9299 Å
α = 90.00°, β = 90.00°, γ = 120.00°
Element x y z (fractional)
Ba  0.6667  0.3333  0.3255
Ba  0.3333  0.6667  0.6745
S  0.3333  0.6667  0.1436
S  0.6667  0.3333  0.8564
S  0.0000  0.0000  0.5000
Pr  0.0000  0.0000  0.0000

***

Number 1: spin magnetization 2.8 Bohr magnetons per cell, final energy -6.8962 eV per atom. Number 2: spin magnetization 2.0 Bohr magnetons per cell, final energy -5.7428 eV per atom. Number 3: spin magnetization 0.0 Bohr magnetons per cell, final energy -4.5238 eV per atom. Number 4: spin magnetization 0.0 Bohr magnetons per cell, final energy -5.5289 eV per atom.